Tm4Al12Pd: optimized geometry, PBE.

Properties
The density of states at the Fermi level comes out at 0.116 states/eV/atom. The uncorrected energy comes out at -4.514 eV/atom. As for the calculated density: 5771 kg/m³.

a = 7.4492 Å, b = 7.4492 Å, c = 7.4492 Å
α = 109.47°, β = 109.47°, γ = 109.47°
Closest atoms and distances in Å follow each position.
Fractional coordinates of all 17 atoms:
Tm1 0.0000 0.0000 0.5000  12 Al 3.04-3.06
Tm2 0.0000 0.5000 0.0000  12 Al 3.04-3.06
Tm3 0.5000 0.0000 0.0000  12 Al 3.04-3.06
Tm4 0.5000 0.5000 0.5000  12 Al 3.04-3.06
Al1 0.0000 0.2927 0.2927  1 Pd 2.52, 4 Al 2.79
Al2 0.0000 0.7073 0.7073  1 Pd 2.52, 4 Al 2.79
Al3 0.2500 0.5000 0.7500  8 Al 2.79-3.04, 4 Tm 3.04
Al4 0.2500 0.7500 0.5000  8 Al 2.79-3.04, 4 Tm 3.04
Al5 0.2927 0.0000 0.2927  1 Pd 2.52, 4 Al 2.79
Al6 0.2927 0.2927 0.0000  1 Pd 2.52, 4 Al 2.79
Al7 0.5000 0.2500 0.7500  8 Al 2.79-3.04, 4 Tm 3.04
Al8 0.5000 0.7500 0.2500  8 Al 2.79-3.04, 4 Tm 3.04
Al9 0.7073 0.0000 0.7073  1 Pd 2.52, 4 Al 2.79
Al10 0.7073 0.7073 0.0000  1 Pd 2.52, 4 Al 2.79
Al11 0.7500 0.2500 0.5000  8 Al 2.79-3.04, 4 Tm 3.04
Al12 0.7500 0.5000 0.2500  8 Al 2.79-3.04, 4 Tm 3.04
Pd1 0.0000 0.0000 0.0000  6 Al 2.52